No. 1
A plane-wave DFT calculation with PBE was carried out for an optimized crystal structure of NbVIrW.

Values from the calculation:
The energy of formation from the pure elements is -0.20 eV/atom.

abc: 6.2942 6.2942 6.2942
angles: 90.00 90.00 90.00
Space group F-43m (No. 216)
Symmetry-distinct sites (fractional):
Nb1 0.0000 0.0000 0.0000
V1 0.0000 0.0000 0.5000
Ir1 0.2500 0.2500 0.7500
W1 0.2500 0.2500 0.2500



No. 2
A plane-wave DFT calculation with PBE was carried out for an optimized crystal structure of Sc8GeRh2.

Values from the calculation:
The energy of formation from the pure elements is -0.45 eV/atom.

abc: 7.9722 12.4586 5.0462
angles: 90.00 107.87 90.00
Space group Cm (No. 8)
Symmetry-distinct sites (fractional):
Sc1 0.0000 0.0000 0.0000
Sc2 0.0925 0.3754 0.7818
Sc3 0.1792 0.1239 0.6105
Sc4 0.2700 0.5000 0.3804
Sc5 0.3885 0.2307 0.1904
Ge1 0.3866 0.0000 0.1501
Rh1 0.3837 0.3047 0.6870



No. 3
A plane-wave DFT calculation with PBE was carried out for an optimized crystal structure of NaMg2SiO4.

Values from the calculation:
For the uncorrected formation energy, the calculation gives -2.2893 eV/atom.

abc: 5.0201 5.0201 8.1169
angles: 90.00 90.00 90.00
Space group I-42m (No. 121)
Symmetry-distinct sites (fractional):
Na1 0.0000 0.0000 0.0000
Mg1 0.0000 0.5000 0.2500
Si1 0.0000 0.0000 0.5000
O1 0.1901 0.1901 0.6235



No. 4
A plane-wave DFT calculation with PBE was carried out for an optimized crystal structure of CaGd4O7.

Values from the calculation:
For the uncorrected formation energy, the calculation gives -3.3464 eV/atom.

abc: 7.2372 9.2257 11.6611
angles: 72.54 80.91 89.93
Space group P-1 (No. 2)
Symmetry-distinct sites (fractional):
Ca1 0.1111 0.3250 0.0629
Ca2 0.2893 0.0688 0.3405
Gd1 0.0194 0.7172 0.4286
Gd2 0.0922 0.8685 0.1242
Gd3 0.1875 0.5034 0.7393
Gd4 0.2108 0.9352 0.6556
Gd5 0.3090 0.4940 0.2613
Gd6 0.3905 0.6731 0.9379
Gd7 0.4055 0.1312 0.8737
Gd8 0.4834 0.2841 0.5706
O1 0.0273 0.4739 0.3857
O2 0.0496 0.9734 0.2836
O3 0.1084 0.5863 0.1007
O4 0.1273 0.1159 0.9984
O5 0.1775 0.7108 0.8099
O6 0.1943 0.2644 0.7310
O7 0.2474 0.8184 0.5070
O8 0.2502 0.1776 0.4992
O9 0.3093 0.7358 0.2726
O10 0.3347 0.2922 0.1881
O11 0.3776 0.8811 0.9993
O12 0.4065 0.4213 0.9029
O13 0.4410 0.0239 0.7172
O14 0.4693 0.5259 0.6149



No. 5
A plane-wave DFT calculation with PBE was carried out for an optimized crystal structure of Sb2MoAuI.

Values from the calculation:
Its excess energy over the best structure of this formula in the dataset is 0.00 eV per formula unit. For the uncorrected formation energy, the calculation gives 0.6724 eV/atom.

abc: 5.1930 5.1930 5.5476
angles: 90.00 90.00 90.00
Space group P4/mmm (No. 123)
Symmetry-distinct sites (fractional):
Sb1 0.0000 0.5000 0.0000
Mo1 0.0000 0.0000 0.0000
Au1 0.5000 0.5000 0.5000
I1 0.0000 0.0000 0.5000



No. 6
A plane-wave DFT calculation with PBE was carried out for an optimized crystal structure of As2AuS.

Values from the calculation:
For the uncorrected formation energy, the calculation gives 0.3866 eV/atom.

abc: 3.2854 3.2854 25.9280
angles: 90.00 90.00 120.00
Space group R-3m (No. 166, hexagonal axes)
Symmetry-distinct sites (fractional):
As1 0.0000 0.0000 0.0987
Au1 0.0000 0.0000 0.0000
S1 0.0000 0.0000 0.5000



No. 7
A plane-wave DFT calculation with PBE was carried out for an optimized crystal structure of Rb2NbTlCl8.

Values from the calculation:
For the uncorrected formation energy, the calculation gives -1.4018 eV/atom.

abc: 6.8391 7.3040 9.5991
angles: 89.79 89.94 89.06
Space group P-1 (No. 2)
Symmetry-distinct sites (fractional):
Rb1 0.0062 0.4970 0.2426
Nb1 0.5000 0.0000 0.5000
Tl1 0.5000 0.0000 0.0000
Cl1 0.2131 0.3011 0.9965
Cl2 0.2976 0.8741 0.3234
Cl3 0.2989 0.2719 0.5025
Cl4 0.3011 0.8692 0.6774



No. 8
A plane-wave DFT calculation with PBE was carried out for an optimized crystal structure of TiN.

Values from the calculation:
For the uncorrected formation energy, the calculation gives -1.4193 eV/atom.

abc: 4.6017 4.6017 4.6017
angles: 90.00 90.00 90.00
Space group F-43m (No. 216)
Symmetry-distinct sites (fractional):
Ti1 0.0000 0.0000 0.0000
N1 0.2500 0.2500 0.2500



No. 9
A plane-wave DFT calculation with PBE was carried out for an optimized crystal structure of LaEr2Co.

Values from the calculation:
Its excess energy over the best structure of this formula in the dataset is 0.99 eV per formula unit. The energy of formation from the pure elements is 0.08 eV/atom.

abc: 3.6350 3.6350 30.8727
angles: 90.00 90.00 120.00
Space group R-3m (No. 166, hexagonal axes)
Symmetry-distinct sites (fractional):
La1 0.0000 0.0000 0.0000
Er1 0.0000 0.0000 0.1165
Co1 0.0000 0.0000 0.5000



No. 10
A plane-wave DFT calculation with PBE was carried out for an optimized crystal structure of ZnSiRh3.

Values from the calculation:
Its excess energy over the best structure of this formula in the dataset is 2.36 eV per formula unit. For the uncorrected formation energy, the calculation gives 0.0950 eV/atom.

abc: 4.3837 4.3837 4.3837
angles: 90.00 90.00 90.00
Space group Pm-3m (No. 221)
Symmetry-distinct sites (fractional):
Zn1 0.0000 0.0000 0.0000
Si1 0.5000 0.5000 0.5000
Rh1 0.0000 0.5000 0.5000



No. 11
A plane-wave DFT calculation with PBE was carried out for an optimized crystal structure of CoCuRh.

Values from the calculation:
Its excess energy over the best structure of this formula in the dataset is 0.36 eV per formula unit. The energy of formation from the pure elements is 0.20 eV/atom.

abc: 2.7187 4.3995 12.9557
angles: 90.00 90.00 90.00
Space group Fmm2 (No. 42)
Symmetry-distinct sites (fractional):
Co1 0.0000 0.0000 0.0000
Cu1 0.0000 0.0000 0.3383
Rh1 0.0000 0.0000 0.6643



No. 12
A plane-wave DFT calculation with PBE was carried out for an optimized crystal structure of In4ICl5.

Values from the calculation:
For the uncorrected formation energy, the calculation gives -0.7894 eV/atom.

abc: 10.5734 11.1117 6.3044
angles: 90.00 90.00 90.00
Space group Pmmn (No. 59, origin choice 2)
Symmetry-distinct sites (fractional):
In1 0.0224 0.2500 0.0020
In2 0.2500 0.5157 0.4528
I1 0.2500 0.7500 0.8965
Cl1 0.0524 0.0790 0.7382
Cl2 0.2500 0.2500 0.1882



| no. | VASP energy (eV per atom) |
| --- | --- |
| 1 | -10.45 |
| 2 | -6.81 |
| 3 | -6.01 |
| 4 | -11.10 |
| 5 | -4.11 |
| 6 | -3.79 |
| 7 | -3.83 |
| 8 | -9.53 |
| 9 | -5.21 |
| 10 | -5.66 |
| 11 | -5.99 |
| 12 | -2.96 |